# Na2Ni3F8

A geometry-optimized Na2Ni3F8 structure (PBE+U, Alexandria via LeMat-Bulk).

Calculated values
Its density is 3.68 g/cm3. For the uncorrected energy, the calculation gives -56.14 eV for the cell shown.

Structure (extended XYZ):
```
13
Lattice="5.156 0.500 0.790 0.908 5.540 2.970 0.906 0.333 6.277" Properties=species:S:1:pos:R:3 pbc="T T T"
F 1.421 3.593 5.659
F 4.221 2.426 7.008
F 6.325 5.733 9.031
F 5.549 2.779 4.380
F 2.747 1.063 4.861
F 2.749 3.946 3.030
F 4.223 5.309 5.177
F 0.645 0.640 1.008
Na 3.082 4.407 6.941
Na 3.888 1.965 3.097
Ni 2.578 0.250 0.395
Ni 0.908 4.193 3.825
Ni 0.906 1.679 5.422
```